No. 1
Density functional theory data (PBE with a Hubbard U) for a relaxed structure of NiIr2PbO8.

Unit cell a=5.4781 b=5.4781 c=5.9793 alpha=90.00 beta=90.00 gamma=120.00
Last column: nearest neighbours and their distance in Å.
Fractional positions:
O 0.6341 0.6936 0.1448  2 Ir 1.96-2.14, 1 Ni 2.05
Ni 0.0000 0.0000 0.0000  6 O 2.05
O 0.6667 0.3333 0.3588  1 Ir 1.84
O 0.9405 0.6341 0.8552  2 Ir 1.96-2.14, 1 Ni 2.05
O 0.3064 0.9405 0.1448  2 Ir 1.96-2.14, 1 Ni 2.05
Ir 0.6667 0.3333 0.0506  4 O 1.84-1.96
O 0.0595 0.3659 0.1448  2 Ir 1.96-2.14, 1 Ni 2.05
Ir 0.3333 0.6667 0.9494  4 O 1.84-1.96
O 0.3333 0.6667 0.6412  1 Ir 1.84
O 0.3659 0.3064 0.8552  2 Ir 1.96-2.14, 1 Ni 2.05
Pb 0.0000 0.0000 0.5000  6 O 2.83, 2 Ni 2.99
O 0.6936 0.0595 0.8552  2 Ir 1.96-2.14, 1 Ni 2.05

No. 2
Density functional theory data (PBE with a Hubbard U) for a relaxed structure of NiIrPb2O6.

Unit cell a=3.9095 b=5.7628 c=5.7628 alpha=90.00 beta=90.00 gamma=90.00
Last column: nearest neighbours and their distance in Å.
Fractional positions:
O 0.1584 0.0000 0.0000  2 Ir 1.94-1.97
Pb 0.0816 0.0000 0.5000  8 O 2.59-2.90
Ir 0.6534 0.0000 0.0000  6 O 1.94-1.97
O 0.6747 0.2390 0.7610  1 Ir 1.95, 1 Ni 2.13
O 0.6747 0.7610 0.7610  1 Ir 1.95, 1 Ni 2.13
Ni 0.6334 0.5000 0.5000  6 O 1.93-2.13
O 0.6747 0.2390 0.2390  1 Ir 1.95, 1 Ni 2.13
O 0.1397 0.5000 0.5000  2 Ni 1.93-1.98
O 0.6747 0.7610 0.2390  1 Ir 1.95, 1 Ni 2.13
Pb 0.0816 0.5000 0.0000  8 O 2.59-2.90

No. 3
Density functional theory data (PBE with a Hubbard U) for a relaxed structure of NiIrPbO6.

Unit cell a=4.7556 b=4.7556 c=9.7615 alpha=90.00 beta=90.00 gamma=90.00
Last column: nearest neighbours and their distance in Å.
Fractional positions:
O 0.7831 0.2169 0.8424  1 Ir 1.91, 1 Ni 2.12
O 0.7169 0.7169 0.3424  1 Ir 1.91, 1 Ni 2.12
O 0.3043 0.3043 0.9825  1 Ir 1.95, 1 Ni 2.05
O 0.6771 0.6771 0.6747  1 Ir 1.97, 1 Ni 2.08, 1 Pb 2.17
Ir 0.5000 0.5000 0.8348  6 O 1.91-1.97
O 0.6957 0.6957 0.9825  1 Ir 1.95, 1 Ni 2.05
O 0.2169 0.7831 0.8424  1 Ir 1.91, 1 Ni 2.12
Ir 0.0000 0.0000 0.3348  6 O 1.91-1.97
Pb 0.0000 0.0000 0.6665  6 O 2.17-2.25
O 0.1771 0.8229 0.1747  1 Ir 1.97, 1 Ni 2.08, 1 Pb 2.17
Ni 0.5000 0.5000 0.4997  6 O 2.05-2.12
Ni 0.0000 0.0000 0.9997  6 O 2.05-2.12
O 0.8229 0.1771 0.1747  1 Ir 1.97, 1 Ni 2.08, 1 Pb 2.17
O 0.1957 0.8043 0.4825  1 Ir 1.95, 1 Ni 2.05
O 0.8043 0.1957 0.4825  1 Ir 1.95, 1 Ni 2.05
Pb 0.5000 0.5000 0.1665  6 O 2.17-2.25
O 0.3229 0.3229 0.6747  1 Ir 1.97, 1 Ni 2.08, 1 Pb 2.17
O 0.2831 0.2831 0.3424  1 Ir 1.91, 1 Ni 2.12

No. 4
Density functional theory data (PBE with a Hubbard U) for a relaxed structure of Ni2IrPb2O6.

Unit cell a=5.4628 b=5.4628 c=6.0055 alpha=99.21 beta=99.21 gamma=118.78
Last column: nearest neighbours and their distance in Å.
Fractional positions:
O 0.9455 0.6169 0.3181  1 Ir 2.06, 2 Ni 2.11-2.17
O 0.6169 0.9455 0.3181  1 Ir 2.06, 2 Ni 2.11-2.17
Pb 0.8279 0.1721 0.0000  6 O 2.54-2.57
Pb 0.1721 0.8279 0.0000  6 O 2.54-2.57
O 0.2545 0.2545 0.3118  1 Ir 2.07, 2 Ni 2.13
Ni 0.3365 0.6635 0.5000  6 O 2.11-2.17
Ir 0.0000 0.0000 0.5000  6 O 2.06-2.07
O 0.3831 0.0545 0.6819  1 Ir 2.06, 2 Ni 2.11-2.17
Ni 0.6635 0.3365 0.5000  6 O 2.11-2.17
O 0.0545 0.3831 0.6819  1 Ir 2.06, 2 Ni 2.11-2.17
O 0.7455 0.7455 0.6882  1 Ir 2.07, 2 Ni 2.13

No. 5
Density functional theory data (PBE with a Hubbard U) for a relaxed structure of Ni2IrPdO6.

Unit cell a=3.8999 b=5.8209 c=5.8209 alpha=90.00 beta=90.00 gamma=90.00
Last column: nearest neighbours and their distance in Å.
Fractional positions:
O 0.7667 0.7618 0.2382  1 Ir 1.99, 2 Ni 2.08, 1 Pd 2.20
O 0.2054 0.0000 0.0000  1 Ir 1.83
O 0.7667 0.2382 0.7618  1 Ir 1.99, 2 Ni 2.08, 1 Pd 2.20
O 0.1595 0.5000 0.5000  2 Pd 1.91-1.99
Pd 0.6495 0.5000 0.5000  2 O 1.91-1.99
Ni 0.8452 0.5000 0.0000  4 O 2.08
O 0.7667 0.7618 0.7618  1 Ir 1.99, 2 Ni 2.08, 1 Pd 2.20
O 0.7667 0.2382 0.2382  1 Ir 1.99, 2 Ni 2.08, 1 Pd 2.20
Ni 0.8452 0.0000 0.5000  4 O 2.08
Ir 0.6749 0.0000 0.0000  5 O 1.83-1.99

No. 6
Density functional theory data (PBE with a Hubbard U) for a relaxed structure of NiIrPdO6.

Unit cell a=5.1283 b=5.1283 c=8.7546 alpha=90.00 beta=90.00 gamma=120.00
Last column: nearest neighbours and their distance in Å.
Fractional positions:
O 0.3543 0.0100 0.1270  1 Ir 1.95, 1 Pd 2.02, 1 Ni 2.11
O 0.0100 0.3543 0.6270  1 Ir 1.95, 1 Pd 2.02, 1 Ni 2.11
O 0.0100 0.6557 0.8730  1 Ir 1.95, 1 Pd 2.02, 1 Ni 2.11
O 0.3443 0.9900 0.6270  1 Ir 1.95, 1 Pd 2.02, 1 Ni 2.11
Ir 0.6667 0.3333 0.2500  6 O 1.95
Ni 0.0000 0.0000 0.5000  6 O 2.11
Ir 0.3333 0.6667 0.7500  6 O 1.95
O 0.3543 0.3443 0.3730  1 Ir 1.95, 1 Pd 2.02, 1 Ni 2.11
Ni 0.0000 0.0000 0.0000  6 O 2.11
O 0.9900 0.6457 0.3730  1 Ir 1.95, 1 Pd 2.02, 1 Ni 2.11
O 0.9900 0.3443 0.1270  1 Ir 1.95, 1 Pd 2.02, 1 Ni 2.11
O 0.6457 0.9900 0.8730  1 Ir 1.95, 1 Pd 2.02, 1 Ni 2.11
O 0.6557 0.0100 0.3730  1 Ir 1.95, 1 Pd 2.02, 1 Ni 2.11
O 0.3443 0.3543 0.8730  1 Ir 1.95, 1 Pd 2.02, 1 Ni 2.11
Pd 0.3333 0.6667 0.2500  6 O 2.02
Pd 0.6667 0.3333 0.7500  6 O 2.02
O 0.6557 0.6457 0.1270  1 Ir 1.95, 1 Pd 2.02, 1 Ni 2.11
O 0.6457 0.6557 0.6270  1 Ir 1.95, 1 Pd 2.02, 1 Ni 2.11

No. 7
Density functional theory data (PBE with a Hubbard U) for a relaxed structure of PmNiIrO6.

Unit cell a=4.9809 b=5.2247 c=5.2247 alpha=120.00 beta=90.00 gamma=90.00
Last column: nearest neighbours and their distance in Å.
Fractional positions:
Pm 0.0000 0.3333 0.6667  6 O 2.37
O 0.2834 0.3144 0.2937  1 Ir 1.92, 1 Ni 2.05
O 0.2834 0.7063 0.0206  1 Ir 1.92, 1 Ni 2.05
Ir 0.5000 0.0000 0.0000  6 O 1.92
O 0.7166 0.3144 0.0206  1 Ir 1.92, 1 Ni 2.05
O 0.7166 0.7063 0.6856  1 Ir 1.92, 1 Ni 2.05
O 0.7166 0.9794 0.2937  1 Ir 1.92, 1 Ni 2.05
O 0.2834 0.9794 0.6856  1 Ir 1.92, 1 Ni 2.05
Ni 0.5000 0.6667 0.3333  6 O 2.05

No. 8
Density functional theory data (PBE with a Hubbard U) for a relaxed structure of PmNi2IrO6.

Unit cell a=5.3567 b=5.3575 c=5.7241 alpha=62.10 beta=62.10 gamma=59.98
Last column: nearest neighbours and their distance in Å.
Fractional positions:
O 0.2442 0.9330 0.2348  1 Ir 2.01, 2 Ni 2.07-2.19
O 0.3690 0.7141 0.7635  1 Ir 2.00, 2 Ni 2.03-2.21
Ir 0.3221 0.3221 0.0335  6 O 2.00-2.01
O 0.7143 0.1533 0.7634  1 Ir 2.00, 2 Ni 2.03-2.21
O 0.9329 0.5880 0.2349  1 Ir 2.01, 2 Ni 2.07-2.19
O 0.1534 0.3691 0.7634  1 Ir 2.00, 2 Ni 2.03-2.21
Pm 0.8022 0.8025 0.5929  6 O 2.26-2.46
O 0.5880 0.2440 0.2350  1 Ir 2.01, 2 Ni 2.07-2.19
Ni 0.0117 0.0117 0.9651  6 O 2.03-2.19
Ni 0.5238 0.5238 0.4287  6 O 2.07-2.21

Computed total DFT energy (no corrections) (eV per atom) in order:
-5.836, -5.656, -5.755, -5.489, -5.184, -5.697, -6.544, -6.282